10
Lattice="2.5949 1.4982 4.6570 -2.5949 1.4982 4.6570 0.0000 -2.9963 4.6570" Properties=species:S:1:pos:R:3 comment="HfCr2NiO6 PBE with a Hubbard U optimized geometry" volume_a3_per_atom=10.86 total_magnetization_mub_per_fu=8.00 total_energy_ev_per_cell=-79.38 pbc="T T T"
Hf 0.0000 0.0000 0.0000
Cr 0.0000 0.0000 4.0876
Cr 0.0000 0.0000 11.1141
Ni 0.0000 0.0000 6.9213
O -1.5731 -0.0695 5.4498
O -1.0473 -1.5645 7.8015
O 0.8468 -1.3276 5.4498
O -0.8313 1.6893 7.8015
O 0.7264 1.3971 5.4498
O 1.8786 -0.1247 7.8015